# 1
This record from Alexandria describes crystalline Ni2RuW2 at its relaxed geometry. The functional is PBE.

Calculated values
The value obtained for the distance to the lowest polymorph of the same formula is 50 meV/atom. The calculation puts the size of the total moment at 0.00 μB per cell. As for the total energy: -9.226 eV/atom.

abc: 6.5710 6.5710 3.1538
angles: 90.00 90.00 90.00
Closest atoms and distances in Å follow each position.
Space group P4/mbm (No. 127)
One atom of each set of equivalent atoms:
Ni 0.1262 0.3738 0.0000 (multiplicity 4)  1 Ni 2.35, 6 W 2.43-2.55, 2 Ru 2.59
Ru 0.0000 0.0000 0.0000 (multiplicity 2)  4 Ni 2.59, 8 W 2.89
W 0.1751 0.6751 0.5000 (multiplicity 4)  6 Ni 2.43-2.55



# 2
This record from Alexandria describes crystalline AgGeSe2 at its relaxed geometry. The functional is PBE.

Calculated values
As for the formation energy without anion corrections: -31 meV per atom. The calculation puts the size of the total moment at 0.00 μB per cell. As for the total energy: -3.640 eV/atom.

abc: 3.9019 3.9019 23.6671
angles: 90.00 90.00 120.00
Closest atoms and distances in Å follow each position.
Space group R-3m (No. 166, hexagonal axes)
One atom of each set of equivalent atoms:
Ag 0.0000 0.0000 0.0000 (multiplicity 3)  2 Se 2.49
Ge 0.0000 0.0000 0.5000 (multiplicity 3)  6 Se 2.68
Se 0.0000 0.0000 0.1052 (multiplicity 6)  1 Ag 2.49, 3 Ge 2.68



# 3
This record from Alexandria describes crystalline ThZn4Au8 at its relaxed geometry. The functional is PBE.

Calculated values
The calculation puts the size of the total moment at 0.00 μB per cell. As for the total energy: -3.310 eV/atom.

abc: 9.3432 9.3432 5.4326
angles: 90.00 90.00 90.00
Closest atoms and distances in Å follow each position.
Space group I4/mmm (No. 139)
One atom of each set of equivalent atoms:
Th 0.0000 0.0000 0.0000 (multiplicity 2)  12 Au 3.11-3.39
Zn 0.2500 0.2500 0.2500 (multiplicity 8)  2 Zn 2.72, 8 Au 2.72-2.81
Au 0.0000 0.2168 0.5000 (multiplicity 8)  4 Zn 2.72, 4 Au 2.87-2.92
Au 0.0000 0.3327 0.0000 (multiplicity 8)  4 Zn 2.81, 5 Au 2.92-3.13, 1 Th 3.11



# 4
This record from Alexandria describes crystalline ZrGaCu3 at its relaxed geometry. The functional is PBE.

Calculated values
The value obtained for the distance to the lowest polymorph of the same formula is 1409 meV/atom. The calculation puts the size of the total moment at 0.36 μB per cell. As for the total energy: -3.560 eV/atom.

abc: 4.9837 4.9837 4.9837
angles: 90.00 90.00 90.00
Closest atoms and distances in Å follow each position.
Space group Pm-3m (No. 221)
One atom of each set of equivalent atoms:
Zr 0.0000 0.0000 0.0000 (multiplicity 1)  6 Cu 2.49
Ga 0.5000 0.5000 0.5000 (multiplicity 1)  12 Cu 3.52
Cu 0.0000 0.0000 0.5000 (multiplicity 3)  2 Zr 2.49